IrPd2F (GGA-PBE, relaxed); offset from the most stable computed form = 0.000 eV per atom; total moment = 0.0 μB/cell; DOS at the Fermi energy = 1.288 states/eV/atom; crystal system = cubic
1.0
-4.032 -1.315 0.853
-3.251 1.161 -2.607
-1.897 -2.946 -2.536
Pd F Ir
2 1 1
Direct
0.250 0.250 0.250
0.750 0.750 0.750
0.000 0.000 0.000
0.500 0.500 0.500

=====

IrPdF2 (GGA-PBE, relaxed); offset from the most stable computed form = 0.634 eV per atom; total moment = 2.7 μB/cell; DOS at the Fermi energy = 1.072 states/eV/atom; crystal system = tetragonal
1.0
-2.695 -5.174 -3.905
1.355 -4.585 5.140
-2.956 -4.440 1.613
Pd F Ir
2 4 2
Direct
0.500 0.500 0.000
0.250 0.750 0.500
0.375 0.276 0.750
0.875 0.974 0.750
0.724 0.125 0.250
0.026 0.625 0.250
0.750 0.250 0.500
0.000 0.000 0.000

=====

IrPd2RuF (GGA-PBE, relaxed); total moment = 2.7 μB/cell; DOS at the Fermi energy = 1.473 states/eV/atom; crystal system = tetragonal
1.0
-1.774 -4.202 -1.647
1.562 0.651 -3.344
4.036 -2.270 1.443
Pd Ir F Ru
2 1 1 1
Direct
0.500 0.000 0.000
0.000 0.000 0.500
0.500 0.500 0.500
0.000 0.500 0.000
0.000 0.000 0.000

=====

no.,E_form (uncorrected) (eV per atom),DFT total energy (eV/atom)
1,0.217,-5.06
2,0.099,-4.35
3,0.931,-5.15